# 1
DFT (PBE) results for crystalline Ho3ErGa4 at its relaxed geometry.

Structure (CIF):
```
data_Ho3ErGa4
_chemical_formula_sum 'Ho3 Er1 Ga4'
_cell_length_a 3.5656
_cell_length_b 6.6980
_cell_length_c 9.0768
_cell_angle_alpha 111.65
_cell_angle_beta 101.33
_cell_angle_gamma 90.00
_space_group_name_H-M_alt 'P 1'
_space_group_IT_number 1
_space_group_name_Hall 'P 1'
loop_
_atom_site_label
_atom_site_type_symbol
_atom_site_fract_x
_atom_site_fract_y
_atom_site_fract_z
Ho1 Ho 0.0000 0.5000 0.0000
Ho2 Ho 0.2026 0.2023 0.4052
Ho3 Ho 0.7974 0.7977 0.5948
Er1 Er 0.5000 0.0000 0.0000
Ga1 Ga 0.3707 0.5641 0.7414
Ga2 Ga 0.6293 0.4359 0.2586
Ga3 Ga 0.6292 0.8224 0.2584
Ga4 Ga 0.3708 0.1776 0.7416
```

Computed properties:
Volume = 24.62 A^3/atom
Final energy = -34.10 eV per cell
Excess energy over the best structure of this formula in the dataset = 115 meV per atom
ΔH_f (0 K) = -0.46 eV per atom
Fermi-level density of states = 4.2 states/eV per cell

---

# 2
DFT (PBE) results for crystalline HoEr3Ga2 at its relaxed geometry.

Structure (CIF):
```
data_HoEr3Ga2
_chemical_formula_sum 'Ho2 Er6 Ga4'
_cell_length_a 4.8919
_cell_length_b 6.5517
_cell_length_c 9.3818
_cell_angle_alpha 90.00
_cell_angle_beta 90.00
_cell_angle_gamma 90.00
_space_group_name_H-M_alt 'P 1'
_space_group_IT_number 1
_space_group_name_Hall 'P 1'
loop_
_atom_site_label
_atom_site_type_symbol
_atom_site_fract_x
_atom_site_fract_y
_atom_site_fract_z
Ho1 Ho 0.5000 0.5360 0.5491
Ho2 Ho 0.5000 0.0360 0.4509
Er1 Er 0.0000 0.4642 0.9504
Er2 Er 0.0000 0.9642 0.0496
Er3 Er 0.5000 0.6715 0.1802
Er4 Er 0.5000 0.1715 0.8198
Er5 Er 0.0000 0.3286 0.3181
Er6 Er 0.0000 0.8286 0.6819
Ga1 Ga 0.5000 0.7103 0.8610
Ga2 Ga 0.5000 0.2103 0.1390
Ga3 Ga 0.0000 0.2894 0.6390
Ga4 Ga 0.0000 0.7894 0.3610
```

Computed properties:
Volume = 25.06 A^3/atom
Final energy = -53.83 eV per cell
Excess energy over the best structure of this formula in the dataset = 0 meV per atom
ΔH_f (0 K) = -0.43 eV per atom
Fermi-level density of states = 10.4 states/eV per cell

---

# 3
DFT (PBE) results for crystalline HoErGa4 at its relaxed geometry.

Structure (CIF):
```
data_HoErGa4
_chemical_formula_sum 'Ho1 Er1 Ga4'
_cell_length_a 4.2392
_cell_length_b 5.7709
_cell_length_c 5.7709
_cell_angle_alpha 73.87
_cell_angle_beta 68.45
_cell_angle_gamma 68.45
_space_group_name_H-M_alt 'P 1'
_space_group_IT_number 1
_space_group_name_Hall 'P 1'
loop_
_atom_site_label
_atom_site_type_symbol
_atom_site_fract_x
_atom_site_fract_y
_atom_site_fract_z
Ho1 Ho 0.5601 0.4399 0.4399
Er1 Er 0.4394 0.0606 0.0606
Ga1 Ga 0.1610 0.6403 0.0376
Ga2 Ga 0.8392 0.8603 0.4612
Ga3 Ga 0.8392 0.4612 0.8603
Ga4 Ga 0.1610 0.0376 0.6403
```

Computed properties:
Volume = 20.08 A^3/atom
Final energy = -24.97 eV per cell
Excess energy over the best structure of this formula in the dataset = 0 meV per atom
ΔH_f (0 K) = -0.62 eV per atom
Fermi-level density of states = 3.1 states/eV per cell

---

# 4
DFT (PBE) results for crystalline Ho3ErGa4 at its relaxed geometry.

Structure (CIF):
```
data_Ho3ErGa4
_chemical_formula_sum 'Ho3 Er1 Ga4'
_cell_length_a 5.0173
_cell_length_b 5.0173
_cell_length_c 8.7126
_cell_angle_alpha 73.27
_cell_angle_beta 73.27
_cell_angle_gamma 60.00
_space_group_name_H-M_alt 'P 1'
_space_group_IT_number 1
_space_group_name_Hall 'P 1'
loop_
_atom_site_label
_atom_site_type_symbol
_atom_site_fract_x
_atom_site_fract_y
_atom_site_fract_z
Ho1 Ho 0.2502 0.2502 0.2495
Ho2 Ho 0.7498 0.7498 0.7505
Ho3 Ho 0.5000 0.5000 0.5000
Ga1 Ga 0.8752 0.8752 0.3745
Ga2 Ga 0.3748 0.3748 0.8756
Ga3 Ga 0.1248 0.1248 0.6255
Ga4 Ga 0.6252 0.6252 0.1244
Er1 Er 0.0000 0.0000 0.0000
```

Computed properties:
Volume = 22.39 A^3/atom
Final energy = -35.02 eV per cell
Excess energy over the best structure of this formula in the dataset = 0 meV per atom
ΔH_f (0 K) = -0.58 eV per atom
Fermi-level density of states = 3.1 states/eV per cell

---

# 5
DFT (PBE) results for crystalline Ho2ErGa3 at its relaxed geometry.

Structure (CIF):
```
data_Ho2ErGa3
_chemical_formula_sum 'Ho4 Er2 Ga6'
_cell_length_a 4.5137
_cell_length_b 6.1711
_cell_length_c 10.6254
_cell_angle_alpha 90.00
_cell_angle_beta 102.26
_cell_angle_gamma 90.00
_space_group_name_H-M_alt 'P 1'
_space_group_IT_number 1
_space_group_name_Hall 'P 1'
loop_
_atom_site_label
_atom_site_type_symbol
_atom_site_fract_x
_atom_site_fract_y
_atom_site_fract_z
Ho1 Ho 0.1422 0.7500 0.2844
Ho2 Ho 0.8578 0.2500 0.7156
Ho3 Ho 0.9664 0.7500 0.9327
Ho4 Ho 0.0336 0.2500 0.0673
Er1 Er 0.3237 0.7500 0.6474
Er2 Er 0.6763 0.2500 0.3526
Ga1 Ga 0.4373 0.4560 0.8747
Ga2 Ga 0.5627 0.5440 0.1253
Ga3 Ga 0.4373 0.0440 0.8747
Ga4 Ga 0.5627 0.9560 0.1253
Ga5 Ga 0.7372 0.7500 0.4744
Ga6 Ga 0.2628 0.2500 0.5256
```

Computed properties:
Volume = 24.10 A^3/atom
Final energy = -51.59 eV per cell
Excess energy over the best structure of this formula in the dataset = 80 meV per atom
ΔH_f (0 K) = -0.50 eV per atom
Fermi-level density of states = 8.7 states/eV per cell

---

# 6
DFT (PBE) results for crystalline Ho2Er3Ga2 at its relaxed geometry.

Structure (CIF):
```
data_Ho2Er3Ga2
_chemical_formula_sum 'Ho2 Er3 Ga2'
_cell_length_a 3.7007
_cell_length_b 6.6876
_cell_length_c 8.7290
_cell_angle_alpha 113.41
_cell_angle_beta 90.00
_cell_angle_gamma 106.06
_space_group_name_H-M_alt 'P 1'
_space_group_IT_number 1
_space_group_name_Hall 'P 1'
loop_
_atom_site_label
_atom_site_type_symbol
_atom_site_fract_x
_atom_site_fract_y
_atom_site_fract_z
Ho1 Ho 0.8559 0.7118 0.1920
Ho2 Ho 0.1441 0.2882 0.8080
Er1 Er 0.5000 0.0000 0.0000
Er2 Er 0.6126 0.2251 0.4394
Er3 Er 0.3874 0.7749 0.5606
Ga1 Ga 0.8172 0.6345 0.7817
Ga2 Ga 0.1828 0.3655 0.2183
```

Computed properties:
Volume = 27.00 A^3/atom
Final energy = -31.22 eV per cell
ΔH_f (0 K) = -0.33 eV per atom
Fermi-level density of states = 6.8 states/eV per cell

---

Copy entry 6 word for word.
DFT (PBE) results for crystalline Ho2Er3Ga2 at its relaxed geometry.

Structure (CIF):
```
data_Ho2Er3Ga2
_chemical_formula_sum 'Ho2 Er3 Ga2'
_cell_length_a 3.7007
_cell_length_b 6.6876
_cell_length_c 8.7290
_cell_angle_alpha 113.41
_cell_angle_beta 90.00
_cell_angle_gamma 106.06
_space_group_name_H-M_alt 'P 1'
_space_group_IT_number 1
_space_group_name_Hall 'P 1'
loop_
_atom_site_label
_atom_site_type_symbol
_atom_site_fract_x
_atom_site_fract_y
_atom_site_fract_z
Ho1 Ho 0.8559 0.7118 0.1920
Ho2 Ho 0.1441 0.2882 0.8080
Er1 Er 0.5000 0.0000 0.0000
Er2 Er 0.6126 0.2251 0.4394
Er3 Er 0.3874 0.7749 0.5606
Ga1 Ga 0.8172 0.6345 0.7817
Ga2 Ga 0.1828 0.3655 0.2183
```

Computed properties:
Volume = 27.00 A^3/atom
Final energy = -31.22 eV per cell
ΔH_f (0 K) = -0.33 eV per atom
Fermi-level density of states = 6.8 states/eV per cell